Record 1
Material: CdPF2
Method: DFT, GGA-PBE
State: relaxed

Cell: 7.427 7.427 7.427 Å, 27.62 27.62 27.62°
Fractional positions:
F 0.870 0.870 0.870
Cd 0.000 0.000 0.000
P 0.500 0.500 0.500
F 0.130 0.130 0.130

## Properties
SG: No. 166
relative energy among the computed polymorphs: 240 kJ/mol of formula units

=====

Record 2
Material: CsRb2ThCl8
Method: DFT, GGA-PBE
State: relaxed

Cell: 7.584 6.249 10.298 Å, 89.64 90.06 90.48°
Fractional positions:
Cl 0.128 0.760 0.805
Cl 0.876 0.244 0.803
Cs 0.000 0.000 0.500
Cl 0.872 0.240 0.195
Cl 0.124 0.756 0.197
Rb 0.500 0.503 0.228
Rb 0.500 0.497 0.772
Cl 0.510 0.784 0.500
Th 0.000 0.000 0.000
Cl 0.692 0.782 0.998
Cl 0.490 0.216 0.500
Cl 0.308 0.218 0.002

## Properties
SG: No. 2
electronic total energy: -0.146 Ha/atom

=====

Record 3
Material: Ti4In3Re
Method: DFT, GGA-PBE
State: relaxed

Cell: 3.146 3.146 14.828 Å, 90.00 90.00 90.00°
Fractional positions:
In 0.500 0.500 0.767
In 0.500 0.500 0.233
Ti 0.000 0.000 0.636
In 0.500 0.500 0.500
Ti 0.000 0.000 0.098
Re 0.500 0.500 0.000
Ti 0.000 0.000 0.364
Ti 0.000 0.000 0.902

## Properties
SG: No. 123
electronic total energy: -0.248 Ha/atom